A plane-wave DFT calculation with PBE+U was carried out for an optimized crystal structure of CoCF2.

abc: 3.8870 3.8870 3.8870
angles: 60.00 60.00 60.00
With the nearest neighbours (Å) after each atom.
Element x y z (fractional)
C (0.0000, 0.0000, 0.0000)  8 F 2.38
F (0.7500, 0.7500, 0.7500)  4 C 2.38, 4 Co 2.38
F (0.2500, 0.2500, 0.2500)  4 Co 2.38, 4 C 2.38
Co (0.5000, 0.5000, 0.5000)  8 F 2.38

Calculated values
* total DFT energy (no corrections): -3.812 eV/atom



A plane-wave DFT calculation with PBE+U was carried out for an optimized crystal structure of CoCF3.

abc: 3.9261 3.9261 3.9261
angles: 90.00 90.00 90.00
With the nearest neighbours (Å) after each atom.
Element x y z (fractional)
F (0.5000, 0.0000, 0.0000)  2 Co 1.96
F (0.0000, 0.0000, 0.5000)  2 Co 1.96
F (0.0000, 0.5000, 0.0000)  2 Co 1.96
Co (0.0000, 0.0000, 0.0000)  6 F 1.96
C (0.5000, 0.5000, 0.5000)  12 F 2.78

Calculated values
* total DFT energy (no corrections): -3.899 eV/atom



A plane-wave DFT calculation with PBE+U was carried out for an optimized crystal structure of CoC3F.

abc: 3.6757 3.6757 3.6757
angles: 90.00 90.00 90.00
With the nearest neighbours (Å) after each atom.
Element x y z (fractional)
F (0.5000, 0.5000, 0.5000)  12 C 2.60
C (0.0000, 0.0000, 0.5000)  2 Co 1.84
C (0.0000, 0.5000, 0.0000)  2 Co 1.84
C (0.5000, 0.0000, 0.0000)  2 Co 1.84
Co (0.0000, 0.0000, 0.0000)  6 C 1.84

Calculated values
* total DFT energy (no corrections): -4.784 eV/atom



A plane-wave DFT calculation with PBE+U was carried out for an optimized crystal structure of CoCF2.

abc: 7.0146 7.0146 7.0146
angles: 23.09 23.09 23.09
With the nearest neighbours (Å) after each atom.
Element x y z (fractional)
C (0.0000, 0.0000, 0.0000)  2 F 2.12
F (0.1033, 0.1033, 0.1033)  3 Co 2.08, 1 C 2.12
F (0.8967, 0.8967, 0.8967)  3 Co 2.08, 1 C 2.12
Co (0.5000, 0.5000, 0.5000)  6 F 2.08

Calculated values
* total DFT energy (no corrections): -4.220 eV/atom



A plane-wave DFT calculation with PBE+U was carried out for an optimized crystal structure of CoCF3.

abc: 3.8536 3.8536 3.8536
angles: 90.00 90.00 90.00
With the nearest neighbours (Å) after each atom.
Element x y z (fractional)
Co (0.5000, 0.5000, 0.5000)  12 F 2.72
F (0.5000, 0.0000, 0.0000)  2 C 1.93
F (0.0000, 0.5000, 0.0000)  2 C 1.93
F (0.0000, 0.0000, 0.5000)  2 C 1.93
C (0.0000, 0.0000, 0.0000)  6 F 1.93

Calculated values
* total DFT energy (no corrections): -3.747 eV/atom



A plane-wave DFT calculation with PBE+U was carried out for an optimized crystal structure of Co3CF.

abc: 3.8100 3.8100 3.8100
angles: 90.00 90.00 90.00
With the nearest neighbours (Å) after each atom.
Element x y z (fractional)
Co (0.5000, 0.0000, 0.0000)  2 C 1.91
Co (0.0000, 0.5000, 0.0000)  2 C 1.91
Co (0.0000, 0.0000, 0.5000)  2 C 1.91
C (0.0000, 0.0000, 0.0000)  6 Co 1.91
F (0.5000, 0.5000, 0.5000)  12 Co 2.69

Calculated values
* total DFT energy (no corrections): -4.932 eV/atom



A plane-wave DFT calculation with PBE+U was carried out for an optimized crystal structure of Co2CF.

abc: 3.8262 3.8262 3.8262
angles: 60.00 60.00 60.00
With the nearest neighbours (Å) after each atom.
Element x y z (fractional)
Co (0.2500, 0.2500, 0.2500)  4 F 2.34, 4 C 2.34
Co (0.7500, 0.7500, 0.7500)  4 C 2.34, 4 F 2.34
F (0.5000, 0.5000, 0.5000)  8 Co 2.34
C (0.0000, 0.0000, 0.0000)  8 Co 2.34

Calculated values
* total DFT energy (no corrections): -4.744 eV/atom



A plane-wave DFT calculation with PBE+U was carried out for an optimized crystal structure of CoC3F.

abc: 3.7107 3.7107 3.7107
angles: 90.00 90.00 90.00
With the nearest neighbours (Å) after each atom.
Element x y z (fractional)
C (0.0000, 0.5000, 0.0000)  2 F 1.86
C (0.5000, 0.0000, 0.0000)  2 F 1.86
C (0.0000, 0.0000, 0.5000)  2 F 1.86
Co (0.5000, 0.5000, 0.5000)  12 C 2.62
F (0.0000, 0.0000, 0.0000)  6 C 1.86

Calculated values
* total DFT energy (no corrections): -3.703 eV/atom



A plane-wave DFT calculation with PBE+U was carried out for an optimized crystal structure of Co2CF.

abc: 4.8073 4.8073 5.2896
angles: 62.97 62.97 90.00
With the nearest neighbours (Å) after each atom.
Element x y z (fractional)
Co (0.3750, 0.4194, 0.7500)  2 C 1.86
Co (0.1694, 0.6250, 0.2500)  2 C 1.86
Co (0.5806, 0.1250, 0.2500)  2 C 1.86
Co (0.8750, 0.8306, 0.7500)  2 C 1.86
F (0.7500, 0.2500, 0.5000)  4 Co 2.12
F (0.0000, 0.0000, 0.0000)  4 Co 2.12
C (0.2500, 0.7500, 0.5000)  4 Co 1.86
C (0.5000, 0.5000, 0.0000)  4 Co 1.86

Calculated values
* total DFT energy (no corrections): -5.153 eV/atom



A plane-wave DFT calculation with PBE+U was carried out for an optimized crystal structure of CoCF2.

abc: 3.3948 3.3948 7.3647
angles: 76.67 76.67 90.00
With the nearest neighbours (Å) after each atom.
Element x y z (fractional)
C (0.5000, 0.5000, 0.0000)  4 F 2.12
C (0.2500, 0.7500, 0.5000)  4 F 2.12
Co (0.0000, 0.0000, 0.0000)  4 F 2.11
Co (0.7500, 0.2500, 0.5000)  4 F 2.11
F (0.3750, 0.3689, 0.7500)  2 Co 2.11, 2 C 2.12
F (0.6311, 0.1250, 0.2500)  2 Co 2.11, 2 C 2.12
F (0.8750, 0.8811, 0.7500)  2 Co 2.11, 2 C 2.12
F (0.1189, 0.6250, 0.2500)  2 Co 2.11, 2 C 2.12

Calculated values
* total DFT energy (no corrections): -4.061 eV/atom



A plane-wave DFT calculation with PBE+U was carried out for an optimized crystal structure of HfCoCF2.

abc: 4.0664 4.0664 4.4535
angles: 90.00 90.00 90.00
With the nearest neighbours (Å) after each atom.
Element x y z (fractional)
Co (0.5000, 0.5000, 0.5000)  4 C 2.88, 8 F 3.02
F (0.5000, 0.0000, 0.0000)  2 Hf 2.03
F (0.0000, 0.5000, 0.0000)  2 Hf 2.03
Hf (0.0000, 0.0000, 0.0000)  4 F 2.03, 2 C 2.23
C (0.0000, 0.0000, 0.5000)  2 Hf 2.23

Calculated values
* total DFT energy (no corrections): -6.488 eV/atom



A plane-wave DFT calculation with PBE+U was carried out for an optimized crystal structure of CoIr2CF.

abc: 4.1978 3.9096 4.1978
angles: 90.00 90.00 90.00
With the nearest neighbours (Å) after each atom.
Element x y z (fractional)
Co (0.5000, 0.5000, 0.5000)  8 Ir 2.87, 4 C 2.97
F (0.0000, 0.0000, 0.0000)  2 C 1.95, 4 Ir 2.10
C (0.0000, 0.5000, 0.0000)  2 F 1.95
Ir (0.5000, 0.0000, 0.0000)  2 F 2.10
Ir (0.0000, 0.0000, 0.5000)  2 F 2.10

Calculated values
* total DFT energy (no corrections): -4.676 eV/atom



A plane-wave DFT calculation with PBE+U was carried out for an optimized crystal structure of CoCO2F.

abc: 3.6968 3.6968 3.8503
angles: 90.00 90.00 90.00
With the nearest neighbours (Å) after each atom.
Element x y z (fractional)
O (0.0000, 0.5000, 0.0000)  2 Co 1.85
O (0.5000, 0.0000, 0.0000)  2 Co 1.85
F (0.0000, 0.0000, 0.5000)  2 Co 1.93
Co (0.0000, 0.0000, 0.0000)  4 O 1.85, 2 F 1.93
C (0.5000, 0.5000, 0.5000)  4 F 2.61, 8 O 2.67

Calculated values
* total DFT energy (no corrections): -4.416 eV/atom



A plane-wave DFT calculation with PBE+U was carried out for an optimized crystal structure of CoCO2F.

abc: 3.5126 3.5126 3.4862
angles: 90.00 90.00 90.00
With the nearest neighbours (Å) after each atom.
Element x y z (fractional)
O (0.0000, 0.5000, 0.0000)  2 C 1.76
O (0.5000, 0.0000, 0.0000)  2 C 1.76
C (0.0000, 0.0000, 0.0000)  2 F 1.74, 4 O 1.76
Co (0.5000, 0.5000, 0.5000)  8 O 2.47, 4 F 2.48
F (0.0000, 0.0000, 0.5000)  2 C 1.74

Calculated values
* total DFT energy (no corrections): -4.812 eV/atom



A plane-wave DFT calculation with PBE+U was carried out for an optimized crystal structure of Sr2CoCO3F5.

abc: 8.9245 5.5699 13.7864
angles: 74.96 90.00 90.00
With the nearest neighbours (Å) after each atom.
Element x y z (fractional)
F (0.0125, 0.0827, 0.5865)  1 Co 1.93
F (0.5393, 0.6763, 0.7727)  1 Co 1.90
F (0.4875, 0.0827, 0.0865)  1 Co 1.93
F (0.2849, 0.6766, 0.2637)  1 Co 1.90
F (0.9607, 0.6763, 0.2727)  1 Co 1.90
F (0.7803, 0.1044, 0.0855)  1 Co 1.96
F (0.0393, 0.3237, 0.7273)  1 Co 1.90
F (0.2197, 0.8956, 0.9145)  1 Co 1.96
F (0.4607, 0.3237, 0.2273)  1 Co 1.90
F (0.8702, 0.5267, 0.5674)  1 Co 2.06
F (0.7849, 0.3234, 0.2363)  1 Co 1.90
F (0.3702, 0.4733, 0.9326)  1 Co 2.06
F (0.7151, 0.3234, 0.7363)  1 Co 1.90
F (0.5125, 0.9173, 0.9135)  1 Co 1.93
F (0.9875, 0.9173, 0.4135)  1 Co 1.93
F (0.7197, 0.1044, 0.5855)  1 Co 1.96
F (0.2151, 0.6766, 0.7637)  1 Co 1.90
F (0.1298, 0.4733, 0.4326)  1 Co 2.06
F (0.2803, 0.8956, 0.4145)  1 Co 1.96
F (0.6298, 0.5267, 0.0674)  1 Co 2.06
O (0.1307, 0.1390, 0.2339)  1 C 1.31
O (0.6194, 0.5870, 0.4157)  1 C 1.30
O (0.8693, 0.8610, 0.7661)  1 C 1.31
O (0.6213, 0.9945, 0.4088)  1 C 1.29
O (0.1213, 0.0055, 0.0912)  1 C 1.29
O (0.3693, 0.1390, 0.7339)  1 C 1.31
O (0.3806, 0.4130, 0.5843)  1 C 1.30
O (0.8787, 0.9945, 0.9088)  1 C 1.29
O (0.6307, 0.8610, 0.2661)  1 C 1.31
O (0.1194, 0.4130, 0.0843)  1 C 1.30
O (0.8806, 0.5870, 0.9157)  1 C 1.30
O (0.3787, 0.0055, 0.5913)  1 C 1.29
Sr (0.6113, 0.6913, 0.5979)  4 F 2.46-2.58, 4 O 2.61-2.72
Sr (0.3887, 0.3087, 0.4021)  4 F 2.46-2.58, 4 O 2.61-2.72
Sr (0.3618, 0.6917, 0.0838)  7 F 2.46-2.71, 1 O 2.66
Sr (0.8618, 0.3083, 0.4162)  7 F 2.46-2.71, 1 O 2.66
Sr (0.1113, 0.3087, 0.9021)  4 F 2.46-2.58, 4 O 2.61-2.72
Sr (0.8887, 0.6913, 0.0979)  4 F 2.46-2.58, 4 O 2.61-2.72
Sr (0.1382, 0.6917, 0.5838)  7 F 2.46-2.71, 1 O 2.66
Sr (0.6382, 0.3083, 0.9162)  7 F 2.46-2.71, 1 O 2.66
Co (0.6279, 0.1889, 0.1739)  5 F 1.90-2.06, 1 O 1.94
Co (0.3721, 0.8111, 0.8261)  5 F 1.90-2.06, 1 O 1.94
Co (0.1279, 0.8111, 0.3261)  5 F 1.90-2.06, 1 O 1.94
Co (0.8721, 0.1889, 0.6739)  5 F 1.90-2.06, 1 O 1.94
C (0.1236, 0.1815, 0.1363)  3 O 1.29-1.31
C (0.6236, 0.8185, 0.3637)  3 O 1.29-1.31
C (0.8764, 0.8185, 0.8637)  3 O 1.29-1.31
C (0.3764, 0.1815, 0.6363)  3 O 1.29-1.31

Calculated values
* total DFT energy (no corrections): -6.124 eV/atom



A plane-wave DFT calculation with PBE+U was carried out for an optimized crystal structure of CoPbC2F.

abc: 4.0070 4.6210 4.0070
angles: 90.00 90.00 90.00
With the nearest neighbours (Å) after each atom.
Element x y z (fractional)
Co (0.5000, 0.5000, 0.5000)  4 Pb 2.83, 8 C 3.06
Pb (0.0000, 0.5000, 0.0000)  2 F 2.31
F (0.0000, 0.0000, 0.0000)  4 C 2.00
C (0.5000, 0.0000, 0.0000)  2 F 2.00
C (0.0000, 0.0000, 0.5000)  2 F 2.00

Calculated values
* total DFT energy (no corrections): -3.298 eV/atom



A plane-wave DFT calculation with PBE+U was carried out for an optimized crystal structure of RbCoCF2.

abc: 4.9706 4.8774 4.9706
angles: 90.00 90.00 90.00
With the nearest neighbours (Å) after each atom.
Element x y z (fractional)
C (0.0000, 0.5000, 0.0000)  2 Rb 2.44
Co (0.5000, 0.5000, 0.5000)  8 F 3.48, 4 C 3.51
Rb (0.0000, 0.0000, 0.0000)  2 C 2.44, 4 F 2.49
F (0.5000, 0.0000, 0.0000)  2 Rb 2.49
F (0.0000, 0.0000, 0.5000)  2 Rb 2.49

Calculated values
* total DFT energy (no corrections): -2.880 eV/atom



A plane-wave DFT calculation with PBE+U was carried out for an optimized crystal structure of Co2RuCF.

abc: 3.8646 4.3925 3.8646
angles: 90.00 90.00 90.00
With the nearest neighbours (Å) after each atom.
Element x y z (fractional)
Ru (0.0000, 0.5000, 0.0000)  2 F 2.20
C (0.5000, 0.5000, 0.5000)  4 Ru 2.73, 8 Co 2.93
Co (0.5000, 0.0000, 0.0000)  2 F 1.93
Co (0.0000, 0.0000, 0.5000)  2 F 1.93
F (0.0000, 0.0000, 0.0000)  4 Co 1.93

Calculated values
* total DFT energy (no corrections): -4.574 eV/atom



A plane-wave DFT calculation with PBE+U was carried out for an optimized crystal structure of SrCoC2F.

abc: 3.5601 5.5661 3.5601
angles: 90.00 90.00 90.00
With the nearest neighbours (Å) after each atom.
Element x y z (fractional)
F (0.0000, 0.5000, 0.0000)  4 Sr 2.52, 2 Co 2.78
C (0.0000, 0.0000, 0.5000)  2 Co 1.78
C (0.5000, 0.0000, 0.0000)  2 Co 1.78
Co (0.0000, 0.0000, 0.0000)  4 C 1.78
Sr (0.5000, 0.5000, 0.5000)  4 F 2.52

Calculated values
* total DFT energy (no corrections): -5.433 eV/atom



A plane-wave DFT calculation with PBE+U was carried out for an optimized crystal structure of Ta2CoCF.

abc: 4.6347 3.4446 4.6347
angles: 90.00 90.00 90.00
With the nearest neighbours (Å) after each atom.
Element x y z (fractional)
Ta (0.5000, 0.0000, 0.0000)  2 Co 2.32
Ta (0.0000, 0.0000, 0.5000)  2 Co 2.32
C (0.0000, 0.5000, 0.0000)  2 Co 1.72
Co (0.0000, 0.0000, 0.0000)  2 C 1.72
F (0.5000, 0.5000, 0.5000)  8 Ta 2.89

Calculated values
* total DFT energy (no corrections): -7.028 eV/atom